(1)
Here is crystalline BaSr2Au2 at its relaxed geometry from Alexandria. Energies are from GGA-PBE.

Computed properties:
ΔH_f (0 K) in eV/f.u.: -3.137
Calculated total energy in eV/atom: -2.996

Unit cell a=5.0368 b=6.1568 c=12.6855 alpha=109.44 beta=90.00 gamma=90.00
Fractional coordinates of all 10 atoms:
Ba 0.2500 0.8035 0.2146
Ba 0.7500 0.1965 0.7854
Sr 0.2500 0.7740 0.8824
Sr 0.7500 0.2260 0.1176
Sr 0.2500 0.2847 0.5323
Sr 0.7500 0.7153 0.4677
Au 0.2500 0.8537 0.6337
Au 0.7500 0.1463 0.3663
Au 0.2500 0.3390 0.9807
Au 0.7500 0.6610 0.0193


(2)
Here is crystalline Ac3TmS6 at its relaxed geometry from Alexandria. Energies are from GGA-PBE.

Computed properties:
Uncorrected formation energy in eV/atom: -2.118
Calculated total energy in eV/atom: -6.274

Unit cell a=7.1196 b=7.6575 c=10.4758 alpha=90.00 beta=91.45 gamma=90.00
Fractional coordinates of all 20 atoms:
Ac 0.5335 0.9175 0.7478
Ac 0.5000 0.5000 0.0000
Ac 0.4665 0.0825 0.2522
Ac 0.0335 0.5825 0.2478
Ac 0.0000 0.0000 0.5000
Ac 0.9665 0.4175 0.7522
Tm 0.5000 0.5000 0.5000
Tm 0.0000 0.0000 0.0000
S 0.6995 0.1831 0.9260
S 0.6731 0.2005 0.5760
S 0.6441 0.4400 0.2641
S 0.3559 0.5600 0.7359
S 0.3269 0.7995 0.4240
S 0.3005 0.8169 0.0740
S 0.1995 0.3169 0.4260
S 0.1731 0.2995 0.0760
S 0.1441 0.0600 0.7641
S 0.8559 0.9400 0.2359
S 0.8269 0.7005 0.9240
S 0.8005 0.6831 0.5740


(3)
Here is crystalline Ti8IrPb2 at its relaxed geometry from Alexandria. Energies are from GGA-PBE.

Computed properties:
ΔH_f (0 K) in eV/f.u.: -1.960
Calculated total energy in eV/atom: -7.400

Unit cell a=4.7669 b=5.3531 c=8.1181 alpha=94.73 beta=107.07 gamma=90.00
Fractional coordinates of all 11 atoms:
Ti 0.4183 0.4363 0.8366
Ti 0.6547 0.1205 0.3094
Ti 0.7650 0.6534 0.5301
Ti 0.0439 0.2728 0.0878
Ti 0.2350 0.3466 0.4699
Ti 0.3453 0.8795 0.6906
Ti 0.5817 0.5637 0.1634
Ti 0.9561 0.7272 0.9122
Ir 0.5000 0.0000 0.0000
Pb 0.8454 0.1925 0.6908
Pb 0.1546 0.8075 0.3092